A relaxed CaHgPb2 crystal, computed with PBEsol.

Computed properties:
total magnetization = 0.00 Bohr magnetons per cell
energy of formation = -245 meV per atom
D(E_F) = 1.97 states/eV/cell

```
CaHgPb2
1.0
3.451 0.000 0.000
0.000 5.424 0.000
-0.466 0.000 5.934
Ca Hg Pb
1 1 2
direct
0.000 0.000 0.000
0.500 0.000 0.500
0.331 0.500 0.745
0.669 0.500 0.255
```